A relaxed ErSbMoO6 crystal, computed with GGA+U.

Summary:
* energy: -6.955 eV/atom
* symmetry: No. 163

Cell: 5.506 5.506 9.093 Å, 90.00 90.00 120.00°
Fractional positions:
O1 0.301 0.007 0.621
O2 0.294 0.301 0.379
O3 0.007 0.706 0.379
O4 0.993 0.294 0.621
O5 0.706 0.007 0.879
O6 0.699 0.706 0.121
O7 0.301 0.294 0.879
O8 0.007 0.301 0.121
O9 0.706 0.699 0.621
O10 0.993 0.699 0.879
O11 0.294 0.993 0.121
O12 0.699 0.993 0.379
Er1 0.333 0.667 0.250
Er2 0.667 0.333 0.750
Mo1 0.000 0.000 0.000
Mo2 0.000 0.000 0.500
Sb1 0.333 0.667 0.750
Sb2 0.667 0.333 0.250